# 1
## CdSbW2 (SCAN)

Data for a crystal of CdSbW2 relaxed with PBEsol.

Computed properties:
Relative energy among the computed polymorphs in eV per formula unit: 1.123
Density in g/cm³: 14.15
Total magnetization in Bohr magnetons per cell: 0.00
Electronic total energy in eV/cell: -203.0
Energy relative to the elements, uncorrected in meV per atom: 1017

Cell: 3.225 3.225 6.789 Å, 90.00 90.00 90.00°
Fractional coordinates of all 4 atoms:
Cd  0.000  0.000  0.000
Sb  0.000  0.000  0.500
W  0.500  0.500  0.270
W  0.500  0.500  0.730

***

# 2
## CdSb2W (SCAN)

Data for a crystal of CdSb2W relaxed with PBEsol.

Computed properties:
Density in g/cm³: 10.87
Total magnetization in Bohr magnetons per cell: 0.00
Electronic total energy in eV/cell: -171.3
Energy relative to the elements, uncorrected in meV per atom: 821

Cell: 5.243 5.243 5.243 Å, 135.73 122.87 75.00°
Fractional coordinates of all 4 atoms:
Cd  0.000  0.000  0.000
Sb  0.248  0.748  0.500
Sb  0.752  0.252  0.500
W  0.500  0.500  0.000